Entry 1:
# HfZr2CuC

A geometry-optimized HfZr2CuC structure (PBEsol, Alexandria).

## Properties
Theoretical density   7.90 g cm⁻³
Total moment   0.00 μB/cell

Lattice parameters (Å, degrees): 5.158 5.158 3.447 90.00 90.00 90.00
Space group P4/mmm (No. 123)
Inequivalent atoms, fractional coordinates:
Hf1 0.000 0.000 0.000 [1 per cell]
Zr1 0.000 0.500 0.500 [2 per cell]
Cu1 0.500 0.500 0.500 [1 per cell]
C1 0.500 0.500 0.000 [1 per cell]

=====

Entry 2:
# CuHgC3

A geometry-optimized CuHgC3 structure (PBEsol, Alexandria).

## Properties
Theoretical density   6.61 g cm⁻³
Total moment   0.00 μB/cell

Lattice parameters (Å, degrees): 4.224 4.224 4.224 90.00 90.00 90.00
Space group Pm-3m (No. 221)
Inequivalent atoms, fractional coordinates:
Cu1 0.000 0.000 0.000 [1 per cell]
Hg1 0.500 0.500 0.500 [1 per cell]
C1 0.000 0.500 0.500 [3 per cell]

=====

Calculated VASP energy in order - -38.270 -15.372 eV per cell